A plane-wave DFT calculation with GGA-PBEsol was carried out for crystalline BaMg2Cu2 at its relaxed geometry.

Lattice parameters (Å, degrees): 4.354 4.354 6.723 108.89 108.89 90.00
Element x y z (fractional)
Mg 0.250 0.750 0.500
Mg 0.750 0.250 0.500
Ba 0.000 0.000 0.000
Cu 0.393 0.393 0.786
Cu 0.607 0.607 0.214

- Total magnetic moment: 0.00 Bohr magnetons per cell
- Total energy: -14.273 eV for the cell shown
- Calculated formation energy: -0.41 kJ per mole of atoms